[1]
Crystalline LiHf3Ga at its relaxed geometry. Source: Alexandria via LeMat-Bulk, functional PBE-GGA. Values from VASP.

Calculated values
total moment	0.000	μB per atom
space group	No. 221
E_form	611	meV per atom
energy relative to the lowest polymorph listed for this composition	0	meV/atom

```
&SYSTEM
  ibrav = 0, nat = 5, ntyp = 3
/
ATOMIC_SPECIES
Li 6.94 Li.upf
Hf 178.49 Hf.upf
Ga 69.72 Ga.upf
CELL_PARAMETERS angstrom
4.643 0.000 0.000
0.000 4.643 0.000
0.000 0.000 4.643
ATOMIC_POSITIONS crystal
Li 0.000 0.000 0.000
Hf 0.000 0.000 0.500
Hf 0.000 0.500 0.000
Hf 0.500 0.000 0.000
Ga 0.500 0.500 0.500
```



[2]
Crystalline LiHf2Ga2 at its relaxed geometry. Source: Alexandria via LeMat-Bulk, functional PBE-GGA. Values from VASP.

Calculated values
total moment	0.000	μB per atom
space group	No. 127
E_form	-321	meV per atom
energy relative to the lowest polymorph listed for this composition	0	meV/atom

```
&SYSTEM
  ibrav = 0, nat = 10, ntyp = 3
/
ATOMIC_SPECIES
Li 6.94 Li.upf
Hf 178.49 Hf.upf
Ga 69.72 Ga.upf
CELL_PARAMETERS angstrom
6.650 0.000 0.000
0.000 6.650 0.000
0.000 0.000 4.112
ATOMIC_POSITIONS crystal
Li 0.000 0.000 0.000
Li 0.500 0.500 0.000
Hf 0.169 0.331 0.500
Hf 0.331 0.831 0.500
Hf 0.669 0.169 0.500
Hf 0.831 0.669 0.500
Ga 0.136 0.636 0.000
Ga 0.364 0.136 0.000
Ga 0.636 0.864 0.000
Ga 0.864 0.364 0.000
```



> Number 1 is which compound?

LiHf3Ga